Record 1
The following is a DFT calculation (PBEsol) of a relaxed AgP2AuO crystal.

```
AgP2AuO
1.0
4.870 0.000 0.000
0.000 4.870 0.000
0.000 0.000 3.818
Ag P Au O
1 2 1 1
Cartesian
0.000 0.000 0.000
0.000 2.435 1.909
2.435 0.000 1.909
2.435 2.435 1.909
2.435 2.435 0.000
```

Density in g/cm³: 7.0
E_form (uncorrected) in meV per atom: 883
Magnetic moment in μB/f.u.: 0.4

***

Record 2
The following is a DFT calculation (PBEsol) of a relaxed ScCuRh2 crystal.

```
ScCuRh2
1.0
5.427 0.000 0.000
0.000 8.540 0.000
-1.274 0.000 2.474
Sc Cu Rh
2 2 4
Cartesian
0.000 0.000 0.000
2.714 4.270 0.000
0.000 4.270 0.000
2.714 0.000 0.000
0.720 2.135 1.237
0.720 6.405 1.237
3.434 2.135 1.237
3.434 6.405 1.237
```

Density in g/cm³: 9.1
Formation enthalpy at 0 K in eV/atom: -0.31
Magnetic moment in μB/f.u.: 0.0

***

Record 3
The following is a DFT calculation (PBEsol) of a relaxed Zr3Mn8Si crystal.

```
Zr3Mn8Si
1.0
4.773 0.000 0.000
-2.386 4.133 0.000
0.000 0.000 7.922
Zr Mn Si
3 8 1
Cartesian
0.000 0.000 0.000
0.000 0.000 3.005
0.000 2.756 6.793
-1.140 2.098 1.516
1.164 0.672 5.380
1.140 2.098 1.516
0.000 4.072 1.516
2.386 1.378 3.464
2.386 1.378 7.495
3.609 0.672 5.380
2.386 2.789 5.380
0.000 2.756 3.939
```

Density in g/cm³: 7.9
E_form (uncorrected) in meV per atom: -187
Magnetic moment in μB/f.u.: 0.6